Here is a relaxed structure of CsTa2Pd from the Alexandria database. Energies are from PBE-GGA.

It has space group I4_1/amd (No. 141, origin choice 2), with a = 5.2404 Å, b = 5.2404 Å, c = 18.5987 Å, α = 90.00°, β = 90.00° and γ = 90.00°. The inequivalent atoms are Cs at (0.0000, 0.2500, 0.3750), Ta at (0.0000, 0.0000, 0.0000) and Pd at (0.0000, 0.2500, 0.8750).

The energy relative to the lowest polymorph listed for this composition comes out at 0.1011 eV/atom. The electronic total energy is -94.45 eV/cell.


Here is a relaxed structure of CsTaPd2 from the Alexandria database. Energies are from PBE-GGA.

It has space group I-42d (No. 122), with a = 7.7335 Å, b = 7.7335 Å, c = 7.6504 Å, α = 90.00°, β = 90.00° and γ = 90.00°. The inequivalent atoms are Cs at (0.0000, 0.0000, 0.0000), Ta at (0.0000, 0.0000, 0.5000) and Pd at (0.1678, 0.2500, 0.6250).

The electronic total energy is -80.36 eV/cell.


Here is a relaxed structure of CsTaPd3 from the Alexandria database. Energies are from PBE-GGA.

It has space group Pm-3m (No. 221), with a = 5.0841 Å, b = 5.0841 Å, c = 5.0841 Å, α = 90.00°, β = 90.00° and γ = 90.00°. The inequivalent atoms are Cs at (0.0000, 0.0000, 0.0000), Ta at (0.5000, 0.5000, 0.5000) and Pd at (0.0000, 0.5000, 0.5000).

The energy relative to the lowest polymorph listed for this composition comes out at 0.0000 eV/atom. The electronic total energy is -25.18 eV/cell.


Here is a relaxed structure of Cs2TaPd2 from the Alexandria database. Energies are from PBE-GGA.

It has space group P4/mbm (No. 127), with a = 9.5686 Å, b = 9.5686 Å, c = 3.1149 Å, α = 90.00°, β = 90.00° and γ = 90.00°. The inequivalent atoms are Cs at (0.1269, 0.3731, 0.0000), Ta at (0.0000, 0.0000, 0.0000) and Pd at (0.1803, 0.6803, 0.5000).

The energy relative to the lowest polymorph listed for this composition comes out at 0.2168 eV/atom. The electronic total energy is -34.51 eV/cell.


Here is a relaxed structure of CsTa2Pd2 from the Alexandria database. Energies are from PBE-GGA.

It has space group I4/mmm (No. 139), with a = 4.9065 Å, b = 4.9065 Å, c = 9.8887 Å, α = 90.00°, β = 90.00° and γ = 90.00°. The inequivalent atoms are Cs at (0.0000, 0.0000, 0.0000), Ta at (0.0000, 0.0000, 0.3603) and Pd at (0.0000, 0.5000, 0.2500).

The energy relative to the lowest polymorph listed for this composition comes out at 0.2629 eV/atom. The electronic total energy is -62.44 eV/cell.


Here is a relaxed structure of Cs2TaTe4Pd from the Alexandria database. Energies are from PBE-GGA.

It has space group Fddd (No. 70, origin choice 2), with a = 6.2744 Å, b = 15.9456 Å, c = 26.1027 Å, α = 90.00°, β = 90.00° and γ = 90.00°. The inequivalent atoms are Cs at (0.1250, 0.1250, 0.3051), Ta at (0.1250, 0.1250, 0.6250), Te at (0.1175, 0.2762, 0.8183) and Pd at (0.1250, 0.1250, 0.1250).

For the formation energy (no corrections), the calculation gives -0.676 eV per atom. The electronic total energy is -293.85 eV/cell.


Here is a relaxed structure of CsTcPd from the Alexandria database. Energies are from PBE-GGA.

It has space group P1 (No. 1), with a = 3.8564 Å, b = 4.8932 Å, c = 11.9659 Å, α = 80.98°, β = 88.46° and γ = 66.81°. The inequivalent atoms are Cs at (0.0000, 0.0000, 0.0000), Cs at (0.3694, 0.3613, 0.4025), Tc at (0.1149, 0.8373, 0.6224), Tc at (0.5500, 0.9498, 0.7214), Pd at (0.2686, 0.4959, 0.8232) and Pd at (0.8359, 0.3868, 0.6675).

The energy relative to the lowest polymorph listed for this composition comes out at 0.1806 eV/atom. The electronic total energy is -30.09 eV/cell.


Here is a relaxed structure of CsTc2Pd from the Alexandria database. Energies are from PBE-GGA.

It has space group Fm-3m (No. 225), with a = 6.6157 Å, b = 6.6157 Å, c = 6.6157 Å, α = 90.00°, β = 90.00° and γ = 90.00°. The inequivalent atoms are Cs at (0.0000, 0.0000, 0.0000), Tc at (0.2500, 0.2500, 0.2500) and Pd at (0.0000, 0.0000, 0.5000).

The energy relative to the lowest polymorph listed for this composition comes out at 0.3097 eV/atom. The electronic total energy is -79.31 eV/cell.


Here is a relaxed structure of Cs3TcPd from the Alexandria database. Energies are from PBE-GGA.

It has space group Pm-3m (No. 221), with a = 6.6179 Å, b = 6.6179 Å, c = 6.6179 Å, α = 90.00°, β = 90.00° and γ = 90.00°. The inequivalent atoms are Cs at (0.0000, 0.0000, 0.5000), Tc at (0.5000, 0.5000, 0.5000) and Pd at (0.0000, 0.0000, 0.0000).

The energy relative to the lowest polymorph listed for this composition comes out at 0.0000 eV/atom. The electronic total energy is -12.72 eV/cell.


Here is a relaxed structure of CsTcPd from the Alexandria database. Energies are from PBE-GGA.

It has space group Pnma (No. 62), with a = 5.7267 Å, b = 4.6967 Å, c = 10.7724 Å, α = 90.00°, β = 90.00° and γ = 90.00°. The inequivalent atoms are Cs at (0.0058, 0.2500, 0.1258), Tc at (0.0053, 0.7500, 0.3080) and Pd at (0.0057, 0.2500, 0.4432).

The energy relative to the lowest polymorph listed for this composition comes out at 0.9351 eV/atom. The electronic total energy is -51.13 eV/cell.


Here is a relaxed structure of CsTc2Pd from the Alexandria database. Energies are from PBE-GGA.

It has space group I-42d (No. 122), with a = 4.4488 Å, b = 4.4488 Å, c = 20.2173 Å, α = 90.00°, β = 90.00° and γ = 90.00°. The inequivalent atoms are Cs at (0.0000, 0.0000, 0.0000), Tc at (0.0782, 0.7500, 0.6250) and Pd at (0.0000, 0.0000, 0.5000).

The energy relative to the lowest polymorph listed for this composition comes out at 0.0000 eV/atom. The electronic total energy is -84.27 eV/cell.


Here is a relaxed structure of CsTcPd from the Alexandria database. Energies are from PBE-GGA.

It has space group P-1 (No. 2), with a = 4.2653 Å, b = 4.2674 Å, c = 12.4563 Å, α = 87.63°, β = 87.99° and γ = 60.02°. The inequivalent atoms are Cs at (0.1845, 0.1924, 0.2015), Tc at (0.1661, 0.1663, 0.5018) and Pd at (0.4934, 0.4895, 0.6110).

The energy relative to the lowest polymorph listed for this composition comes out at 0.0000 eV/atom. The electronic total energy is -31.17 eV/cell.